{"formula": "MnCuSe2", "functional": "PBE", "state": "optimized geometry", "formation_energy_uncorrected_mev_per_atom": -221, "total_energy_ha_per_atom": -0.1940, "sg": "No. 99", "cell": [[3.5163, 0.0000, 0.0000], [0.0000, 3.5163, 0.0000], [0.0000, 0.0000, 6.5711]], "species": ["Mn", "Cu", "Se", "Se"], "frac_coords": [[0.0000, 0.0000, 0.0000], [0.5000, 0.5000, 0.7317], [0.0000, 0.0000, 0.6255], [0.5000, 0.5000, 0.1161]]}

---

{"formula": "Mn4CuSe", "functional": "PBE", "state": "optimized geometry", "formation_energy_uncorrected_mev_per_atom": 528, "total_energy_ha_per_atom": -0.2517, "sg": "No. 216", "cell": [[0.0000, 3.3883, 3.3883], [3.3883, 0.0000, 3.3883], [3.3883, 3.3883, 0.0000]], "species": ["Mn", "Mn", "Mn", "Mn", "Cu", "Se"], "frac_coords": [[0.3759, 0.3759, 0.3759], [0.3759, 0.3759, 0.8722], [0.3759, 0.8722, 0.3759], [0.8722, 0.3759, 0.3759], [0.7500, 0.7500, 0.7500], [0.0000, 0.0000, 0.0000]]}

---

{"formula": "MnCuSe", "functional": "PBE", "state": "optimized geometry", "formation_energy_uncorrected_mev_per_atom": 95, "relative_energy_mev_per_atom": 20, "total_energy_ha_per_atom": -0.2017, "sg": "No. 156", "cell": [[3.7891, 0.0000, 0.0000], [-1.8946, 3.2815, 0.0000], [0.0000, 0.0000, 4.1269]], "species": ["Mn", "Cu", "Se"], "frac_coords": [[0.0000, 0.0000, 0.0000], [0.3333, 0.6667, 0.6484], [0.6667, 0.3333, 0.3576]]}

---

{"formula": "MnCuSe2", "functional": "PBE", "state": "optimized geometry", "formation_energy_uncorrected_mev_per_atom": -230, "total_energy_ha_per_atom": -0.1944, "sg": "No. 166", "cell": [[1.8930, 1.0929, 7.2874], [-1.8930, 1.0929, 7.2874], [0.0000, -2.1858, 7.2874]], "species": ["Mn", "Cu", "Se", "Se"], "frac_coords": [[0.0000, 0.0000, 0.0000], [0.5000, 0.5000, 0.5000], [0.3963, 0.3963, 0.3963], [0.6037, 0.6037, 0.6037]]}

---

{"formula": "MnCuSe2", "functional": "PBE", "state": "optimized geometry", "formation_energy_uncorrected_mev_per_atom": -195, "total_energy_ha_per_atom": -0.1931, "sg": "No. 11", "cell": [[6.6000, 0.0000, 0.0000], [0.0000, 3.6749, 0.0000], [-2.5977, 0.0000, 6.6832]], "species": ["Mn", "Mn", "Cu", "Cu", "Se", "Se", "Se", "Se"], "frac_coords": [[0.1100, 0.2500, 0.1042], [0.8900, 0.7500, 0.8958], [0.3500, 0.7500, 0.0043], [0.6500, 0.2500, 0.9957], [0.0091, 0.2500, 0.7532], [0.4836, 0.2500, 0.2546], [0.5164, 0.7500, 0.7454], [0.9909, 0.7500, 0.2468]]}

---

{"formula": "MnCuSe2", "functional": "PBE", "state": "optimized geometry", "formation_energy_uncorrected_mev_per_atom": -167, "total_energy_ha_per_atom": -0.1920, "sg": "No. 14", "cell": [[7.4605, 0.0000, 0.0000], [0.0000, 3.7051, 0.0000], [-5.2713, 0.0000, 11.5634]], "species": ["Mn", "Mn", "Mn", "Mn", "Cu", "Cu", "Cu", "Cu", "Se", "Se", "Se", "Se", "Se", "Se", "Se", "Se"], "frac_coords": [[0.0276, 0.1835, 0.4549], [0.0276, 0.3165, 0.9549], [0.9724, 0.6835, 0.0451], [0.9724, 0.8165, 0.5451], [0.1282, 0.1189, 0.7441], [0.1282, 0.3811, 0.2441], [0.8718, 0.6189, 0.7559], [0.8718, 0.8811, 0.2559], [0.2457, 0.5868, 0.8859], [0.2457, 0.9132, 0.3859], [0.2566, 0.0525, 0.1231], [0.2566, 0.4475, 0.6231], [0.7434, 0.5525, 0.3769], [0.7434, 0.9475, 0.8769], [0.7543, 0.0868, 0.6141], [0.7543, 0.4132, 0.1141]]}

---

{"formula": "MnCuSe2", "functional": "PBE", "state": "optimized geometry", "formation_energy_uncorrected_mev_per_atom": -254, "total_energy_ha_per_atom": -0.1952, "sg": "No. 12", "cell": [[3.2144, -1.8594, 0.0000], [3.2144, 1.8594, 0.0000], [-2.1177, 0.0000, 6.0489]], "species": ["Mn", "Cu", "Se", "Se"], "frac_coords": [[0.0000, 0.0000, 0.0000], [0.5000, 0.5000, 0.5000], [0.2506, 0.2506, 0.7491], [0.7494, 0.7494, 0.2509]]}

---

{"formula": "MnCuSe2", "functional": "PBE", "state": "optimized geometry", "formation_energy_uncorrected_mev_per_atom": 2, "total_energy_ha_per_atom": -0.1858, "sg": "No. 65", "cell": [[1.7995, -3.7477, 0.0000], [1.7995, 3.7477, 0.0000], [0.0000, 0.0000, 6.8695]], "species": ["Mn", "Cu", "Se", "Se"], "frac_coords": [[0.0000, 0.0000, 0.0000], [0.0000, 0.0000, 0.5000], [0.5000, 0.5000, 0.2536], [0.5000, 0.5000, 0.7464]]}

---

{"formula": "MnCu2SiSe4", "functional": "PBE", "state": "optimized geometry", "formation_energy_uncorrected_mev_per_atom": -339, "total_energy_ha_per_atom": -0.1811, "sg": "No. 31", "cell": [[7.9575, 0.0000, 0.0000], [0.0000, 6.8070, 0.0000], [0.0000, 0.0000, 6.5399]], "species": ["Mn", "Mn", "Cu", "Cu", "Cu", "Cu", "Si", "Si", "Se", "Se", "Se", "Se", "Se", "Se", "Se", "Se"], "frac_coords": [[0.0000, 0.1543, 0.0000], [0.5000, 0.8457, 0.5000], [0.2482, 0.3226, 0.5101], [0.2518, 0.6774, 0.0101], [0.7482, 0.6774, 0.0101], [0.7518, 0.3226, 0.5101], [0.0000, 0.8267, 0.5003], [0.5000, 0.1733, 0.0003], [0.0000, 0.1501, 0.3885], [0.0000, 0.8116, 0.8564], [0.2363, 0.6614, 0.3799], [0.2637, 0.3386, 0.8799], [0.5000, 0.1884, 0.3564], [0.5000, 0.8499, 0.8885], [0.7363, 0.3386, 0.8799], [0.7637, 0.6614, 0.3799]]}

---

{"formula": "Sm2MnCuSe5", "functional": "PBE", "state": "optimized geometry", "formation_energy_uncorrected_mev_per_atom": -1164, "total_energy_ha_per_atom": -0.2066, "sg": "No. 36", "cell": [[1.9902, -8.6515, 0.0000], [1.9902, 8.6515, 0.0000], [0.0000, 0.0000, 11.6652]], "species": ["Sm", "Sm", "Sm", "Sm", "Mn", "Mn", "Cu", "Cu", "Se", "Se", "Se", "Se", "Se", "Se", "Se", "Se", "Se", "Se"], "frac_coords": [[0.1129, 0.8871, 0.5000], [0.1240, 0.8760, 0.1159], [0.8760, 0.1240, 0.6159], [0.8871, 0.1129, 0.0000], [0.1948, 0.8052, 0.8230], [0.8052, 0.1948, 0.3230], [0.4216, 0.5784, 0.2669], [0.5784, 0.4216, 0.7669], [0.0519, 0.9481, 0.8739], [0.2858, 0.7142, 0.4728], [0.3005, 0.6995, 0.1571], [0.3492, 0.6508, 0.8107], [0.4976, 0.5024, 0.0931], [0.5024, 0.4976, 0.5931], [0.6508, 0.3492, 0.3107], [0.6995, 0.3005, 0.6571], [0.7142, 0.2858, 0.9728], [0.9481, 0.0519, 0.3739]]}

---

{"formula": "SmMnCuSe3", "functional": "PBE", "state": "optimized geometry", "formation_energy_uncorrected_mev_per_atom": -947, "total_energy_ha_per_atom": -0.2090, "sg": "No. 11", "cell": [[7.8531, 0.0000, 0.0000], [0.0000, 3.9253, 0.0000], [-1.9591, 0.0000, 8.5071]], "species": ["Sm", "Sm", "Mn", "Mn", "Cu", "Cu", "Se", "Se", "Se", "Se", "Se", "Se"], "frac_coords": [[0.1895, 0.2500, 0.2464], [0.8105, 0.7500, 0.7536], [0.3337, 0.7500, 0.8391], [0.6663, 0.2500, 0.1609], [0.0806, 0.2500, 0.5821], [0.9194, 0.7500, 0.4179], [0.0962, 0.2500, 0.8671], [0.2512, 0.7500, 0.5175], [0.4266, 0.7500, 0.1519], [0.5734, 0.2500, 0.8481], [0.7488, 0.2500, 0.4825], [0.9038, 0.7500, 0.1329]]}

---

{"formula": "MnCuSnSe4", "functional": "PBE", "state": "optimized geometry", "formation_energy_uncorrected_mev_per_atom": -367, "total_energy_ha_per_atom": -0.1773, "sg": "No. 74", "cell": [[-3.8216, 3.8794, 5.3773], [3.8216, -3.8794, 5.3773], [3.8216, 3.8794, -5.3773]], "species": ["Mn", "Mn", "Cu", "Cu", "Sn", "Sn", "Se", "Se", "Se", "Se", "Se", "Se", "Se", "Se"], "frac_coords": [[0.5000, 0.0000, 0.0000], [0.5000, 0.5000, 0.5000], [0.1172, 0.3672, 0.7500], [0.8828, 0.6328, 0.2500], [0.0000, 0.0000, 0.0000], [0.5000, 0.0000, 0.5000], [0.2648, 0.2704, 0.5055], [0.2648, 0.7593, 0.9945], [0.2673, 0.7462, 0.5211], [0.2749, 0.2538, 0.0211], [0.7251, 0.7462, 0.9789], [0.7327, 0.2538, 0.4789], [0.7352, 0.2407, 0.0055], [0.7352, 0.7296, 0.4945]]}

---

{"formula": "Tb2MnCuSe5", "functional": "PBE", "state": "optimized geometry", "formation_energy_uncorrected_mev_per_atom": -1145, "total_energy_ha_per_atom": -0.2052, "sg": "No. 36", "cell": [[1.9661, -8.5492, 0.0000], [1.9661, 8.5492, 0.0000], [0.0000, 0.0000, 11.6005]], "species": ["Tb", "Tb", "Tb", "Tb", "Mn", "Mn", "Cu", "Cu", "Se", "Se", "Se", "Se", "Se", "Se", "Se", "Se", "Se", "Se"], "frac_coords": [[0.1126, 0.8874, 0.5000], [0.1239, 0.8761, 0.1169], [0.8761, 0.1239, 0.6169], [0.8874, 0.1126, 0.0000], [0.1942, 0.8058, 0.8243], [0.8058, 0.1942, 0.3243], [0.4210, 0.5790, 0.2706], [0.5790, 0.4210, 0.7706], [0.0499, 0.9501, 0.8788], [0.2857, 0.7143, 0.4754], [0.3006, 0.6994, 0.1562], [0.3501, 0.6499, 0.8116], [0.4974, 0.5026, 0.0960], [0.5026, 0.4974, 0.5960], [0.6499, 0.3501, 0.3116], [0.6994, 0.3006, 0.6562], [0.7143, 0.2857, 0.9754], [0.9501, 0.0499, 0.3788]]}

---

{"formula": "MnTlCuSe2", "functional": "PBE", "state": "optimized geometry", "formation_energy_uncorrected_mev_per_atom": 1128, "relative_energy_mev_per_atom": 1485, "total_energy_ha_per_atom": -0.1247, "sg": "No. 123", "cell": [[5.4649, 0.0000, 0.0000], [0.0000, 5.4649, 0.0000], [0.0000, 0.0000, 5.1393]], "species": ["Mn", "Tl", "Cu", "Se", "Se"], "frac_coords": [[0.0000, 0.0000, 0.0000], [0.0000, 0.0000, 0.5000], [0.5000, 0.5000, 0.0000], [0.0000, 0.5000, 0.5000], [0.5000, 0.0000, 0.5000]]}

---

{"formula": "Mn2TlCuSe4", "functional": "PBE", "state": "optimized geometry", "formation_energy_uncorrected_mev_per_atom": -346, "total_energy_ha_per_atom": -0.1907, "sg": "No. 63", "cell": [[1.8225, -7.6750, 0.0000], [1.8225, 7.6750, 0.0000], [0.0000, 0.0000, 13.9455]], "species": ["Mn", "Mn", "Mn", "Mn", "Tl", "Tl", "Cu", "Cu", "Se", "Se", "Se", "Se", "Se", "Se", "Se", "Se"], "frac_coords": [[0.0885, 0.9115, 0.5904], [0.0885, 0.9115, 0.9096], [0.9115, 0.0885, 0.0904], [0.9115, 0.0885, 0.4096], [0.3218, 0.6782, 0.7500], [0.6782, 0.3218, 0.2500], [0.3860, 0.6140, 0.2500], [0.6140, 0.3860, 0.7500], [0.0081, 0.9919, 0.7500], [0.2998, 0.7002, 0.1045], [0.2998, 0.7002, 0.3955], [0.5000, 0.5000, 0.0000], [0.5000, 0.5000, 0.5000], [0.7002, 0.2998, 0.6045], [0.7002, 0.2998, 0.8955], [0.9919, 0.0081, 0.2500]]}

---

{"formula": "MnTlCuSe2", "functional": "PBE", "state": "optimized geometry", "formation_energy_uncorrected_mev_per_atom": -292, "relative_energy_mev_per_atom": 65, "total_energy_ha_per_atom": -0.1769, "sg": "No. 13", "cell": [[7.7106, 0.0000, 0.0000], [0.0000, 5.6875, 0.0000], [-2.3842, 0.0000, 5.7322]], "species": ["Mn", "Mn", "Tl", "Tl", "Cu", "Cu", "Se", "Se", "Se", "Se"], "frac_coords": [[0.0000, 0.0058, 0.2500], [0.0000, 0.9942, 0.7500], [0.5000, 0.2795, 0.2500], [0.5000, 0.7205, 0.7500], [0.0000, 0.5000, 0.0000], [0.0000, 0.5000, 0.5000], [0.2301, 0.2194, 0.6132], [0.2301, 0.7806, 0.1132], [0.7699, 0.2194, 0.8868], [0.7699, 0.7806, 0.3868]]}

---

{"formula": "MnTlCuSe2", "functional": "PBE", "state": "optimized geometry", "formation_energy_uncorrected_mev_per_atom": -358, "relative_energy_mev_per_atom": 0, "total_energy_ha_per_atom": -0.1793, "sg": "No. 119", "cell": [[-2.0348, 2.0348, 7.0819], [2.0348, -2.0348, 7.0819], [2.0348, 2.0348, -7.0819]], "species": ["Mn", "Tl", "Cu", "Se", "Se"], "frac_coords": [[0.0000, 0.0000, 0.0000], [0.2500, 0.7500, 0.5000], [0.5000, 0.5000, 0.0000], [0.6078, 0.1078, 0.5000], [0.8922, 0.3922, 0.5000]]}

---

{"formula": "MnTl2Cu2Se4", "functional": "PBE", "state": "optimized geometry", "formation_energy_uncorrected_mev_per_atom": -323, "total_energy_ha_per_atom": -0.1590, "sg": "No. 12", "cell": [[7.3365, -1.9223, 0.0000], [7.3365, 1.9223, 0.0000], [-2.6408, 0.0000, 7.2718]], "species": ["Mn", "Tl", "Tl", "Cu", "Cu", "Se", "Se", "Se", "Se"], "frac_coords": [[0.0000, 0.0000, 0.0000], [0.1336, 0.1336, 0.5684], [0.8664, 0.8664, 0.4316], [0.3125, 0.3125, 0.0163], [0.6875, 0.6875, 0.9837], [0.1923, 0.1923, 0.1831], [0.4834, 0.4834, 0.2089], [0.5166, 0.5166, 0.7911], [0.8077, 0.8077, 0.8169]]}

---

{"formula": "MnV2CuSe", "functional": "PBE", "state": "optimized geometry", "formation_energy_uncorrected_mev_per_atom": 731, "total_energy_ha_per_atom": -0.2303, "sg": "No. 123", "cell": [[4.5937, 0.0000, 0.0000], [0.0000, 4.5937, 0.0000], [0.0000, 0.0000, 4.3805]], "species": ["Mn", "V", "V", "Cu", "Se"], "frac_coords": [[0.0000, 0.0000, 0.0000], [0.0000, 0.5000, 0.5000], [0.5000, 0.0000, 0.5000], [0.5000, 0.5000, 0.0000], [0.5000, 0.5000, 0.5000]]}

---

{"formula": "ZrMnCu2Se4", "functional": "PBE", "state": "optimized geometry", "formation_energy_uncorrected_mev_per_atom": -515, "total_energy_ha_per_atom": -0.2020, "sg": "No. 8", "cell": [[6.2983, -2.4313, 0.0000], [6.2983, 2.4313, 0.0000], [-3.0070, 0.0000, 5.8321]], "species": ["Zr", "Mn", "Cu", "Cu", "Se", "Se", "Se", "Se"], "frac_coords": [[0.0000, 0.0000, 0.0000], [0.2325, 0.2325, 0.5666], [0.4372, 0.4372, 0.1815], [0.7852, 0.7852, 0.3778], [0.2373, 0.2373, 0.1803], [0.4776, 0.4776, 0.8478], [0.7537, 0.7537, 0.7117], [0.9880, 0.9880, 0.3775]]}

---

{"formula": "MnCu2Si", "functional": "PBE", "state": "optimized geometry", "formation_energy_uncorrected_mev_per_atom": -39, "total_energy_ha_per_atom": -0.2107, "sg": "No. 139", "cell": [[-1.7871, 1.7871, 3.8603], [1.7871, -1.7871, 3.8603], [1.7871, 1.7871, -3.8603]], "species": ["Mn", "Cu", "Cu", "Si"], "frac_coords": [[0.0000, 0.0000, 0.0000], [0.2500, 0.7500, 0.5000], [0.7500, 0.2500, 0.5000], [0.5000, 0.5000, 0.0000]]}

---

{"formula": "MnCu2Si", "functional": "PBE", "state": "optimized geometry", "formation_energy_uncorrected_mev_per_atom": -49, "total_energy_ha_per_atom": -0.2111, "sg": "No. 12", "cell": [[4.4525, -1.3089, 0.0000], [4.4525, 1.3089, 0.0000], [-0.9439, 0.0000, 4.1863]], "species": ["Mn", "Cu", "Cu", "Si"], "frac_coords": [[0.0000, 0.0000, 0.0000], [0.2434, 0.2434, 0.7473], [0.7566, 0.7566, 0.2527], [0.5000, 0.5000, 0.5000]]}

---

{"formula": "Mn2CuSi", "functional": "PBE", "state": "optimized geometry", "formation_energy_uncorrected_mev_per_atom": -119, "total_energy_ha_per_atom": -0.2603, "sg": "No. 123", "cell": [[3.6750, 0.0000, 0.0000], [0.0000, 3.6750, 0.0000], [0.0000, 0.0000, 3.5736]], "species": ["Mn", "Mn", "Cu", "Si"], "frac_coords": [[0.0000, 0.5000, 0.0000], [0.5000, 0.0000, 0.0000], [0.0000, 0.0000, 0.5000], [0.5000, 0.5000, 0.5000]]}

---

{"formula": "Mn2CuSi", "functional": "PBE", "state": "optimized geometry", "formation_energy_uncorrected_mev_per_atom": -35, "total_energy_ha_per_atom": -0.2572, "sg": "No. 123", "cell": [[4.1082, 0.0000, 0.0000], [0.0000, 4.1082, 0.0000], [0.0000, 0.0000, 2.8075]], "species": ["Mn", "Mn", "Cu", "Si"], "frac_coords": [[0.0000, 0.5000, 0.0000], [0.5000, 0.0000, 0.0000], [0.0000, 0.0000, 0.5000], [0.5000, 0.5000, 0.5000]]}